# 1
Here is a relaxed structure of TaTe6Mo2 from Alexandria. Energies are from PBE-GGA.

Results
Size of the total moment ... 0.00 μB/f.u.
Volume ... 1044 Å³/cell
Uncorrected energy ... -5.5933 eV per atom

a b c (Å): 14.629 11.504 6.272
angles (deg): 90.00 98.52 90.00
Space group C2/c (No. 15)
Asymmetric unit:
Ta: 0.000 0.070 0.250 x4
Te: 0.094 0.404 0.589 x8
Te: 0.120 0.095 0.639 x8
Te: 0.123 0.243 0.123 x8
Mo: 0.194 0.433 0.284 x8

# 2
Here is a relaxed structure of AcLa4Tl2 from Alexandria. Energies are from PBE-GGA.

Results
Size of the total moment ... 0.54 μB/f.u.
DFT formation energy ... 0.119 eV per atom
Volume ... 509 Å³/cell

a b c (Å): 6.339 6.339 12.668
angles (deg): 90.00 90.00 90.00
Space group I4/mmm (No. 139)
Asymmetric unit:
Ac: 0.000 0.000 0.000 x2
La: 0.000 0.500 0.000 x4
La: 0.000 0.500 0.250 x4
Tl: 0.000 0.000 0.368 x4

> Look up the volume of the second one.

509 Å³/cell

> size of the total moment of number 1 (TaTe6Mo2)?

0.00 μB/f.u.

> Which of these has the highest size of the total moment?

AcLa4Tl2